Material: NiTe2NCl
Method: DFT, PBE
State: optimized geometry

distance to the lowest polymorph of the same formula	0.000	eV per atom
E_form (uncorrected)	0.49	eV per atom
space group	No. 123
VASP energy	-3.9609	eV per atom
N(E_F)	6.0	states/eV/f.u.
spin magnetization	0.0	μB/cell

Geometry as POSCAR:
```
NiTe2NCl
1.0
-1.0310 -5.2264 -1.3929
2.9840 -1.7323 4.2911
-2.7788 0.0300 1.9445
Te Ni N Cl
2 1 1 1
direct
0.0000 0.5000 0.0000 Te
0.5000 0.0000 0.0000 Te
0.0000 0.0000 0.0000 Ni
0.0000 0.0000 0.5000 N
0.5000 0.5000 0.5000 Cl
```